# 1
Here is a relaxed structure of LiAgO2F from Alexandria. Energies are from PBE.

Geometry as POSCAR:
```
LiAgO2F
1.0
4.0286 0.0000 0.0000
0.0000 4.0286 0.0000
0.0000 0.0000 4.4214
Li Ag O F
1 1 2 1
direct
0.0000 0.0000 0.0000
0.5000 0.5000 0.5000
0.0000 0.5000 0.5000
0.5000 0.0000 0.5000
0.5000 0.5000 0.0000
```

Output
As for the density of states at the Fermi level: 4.33 states/eV/f.u. The value obtained for the total DFT energy (no corrections) is -18.83 eV for the cell shown. The uncorrected formation energy is -456 meV per atom.


# 2
Here is a relaxed structure of Pa2Si5Ni3 from Alexandria. Energies are from PBE.

Geometry as POSCAR:
```
Pa2Si5Ni3
1.0
-4.7278 5.6378 2.8652
4.7278 -5.6378 2.8652
4.7278 5.6378 -2.8652
Pa Si Ni
4 10 6
direct
0.1316 0.2337 0.3653
0.3684 0.7337 0.1020
0.6316 0.2663 0.8980
0.8684 0.7663 0.6347
0.0230 0.7500 0.2730
0.1063 0.6532 0.7595
0.2500 0.2500 0.0000
0.3937 0.1532 0.5468
0.4770 0.7500 0.7270
0.5230 0.2500 0.2730
0.6063 0.8468 0.4532
0.7500 0.7500 0.0000
0.8937 0.3468 0.2405
0.9770 0.2500 0.7270
0.1380 0.8921 0.0301
0.2500 0.7500 0.5000
0.3620 0.3921 0.7541
0.6380 0.6079 0.2459
0.7500 0.2500 0.5000
0.8620 0.1079 0.9699
```

Output
As for the density of states at the Fermi level: 8.91 states/eV/f.u. The value obtained for the total DFT energy (no corrections) is -140.40 eV for the cell shown. The uncorrected formation energy is -675 meV per atom.


# 3
Here is a relaxed structure of NpTcAs2 from Alexandria. Energies are from PBE.

Geometry as POSCAR:
```
NpTcAs2
1.0
1.8814 1.0863 6.5819
-1.8814 1.0863 6.5819
0.0000 -2.1725 6.5819
Np Tc As
1 1 2
direct
0.0000 0.0000 0.0000
0.8264 0.8264 0.8264
0.4275 0.4275 0.4275
0.5655 0.5655 0.5655
```

Output
As for the formation energy: -0.220 eV per atom. As for the density of states at the Fermi level: 7.82 states/eV/f.u. The value obtained for the total DFT energy (no corrections) is -33.49 eV for the cell shown. Its energy above the most stable polymorph in this dataset is 195 meV/atom.


# 4
Here is a relaxed structure of TaMnS from Alexandria. Energies are from PBE.

Geometry as POSCAR:
```
TaMnS
1.0
3.2556 0.0000 0.0000
0.0000 3.2556 0.0000
0.0000 0.0000 9.3561
Ta Mn S
2 2 2
direct
0.2500 0.2500 0.2185
0.7500 0.7500 0.7815
0.2500 0.2500 0.9370
0.7500 0.7500 0.0630
0.2500 0.2500 0.6677
0.7500 0.7500 0.3323
```

Output
As for the density of states at the Fermi level: 1.54 states/eV/f.u. The value obtained for the total DFT energy (no corrections) is -52.98 eV for the cell shown. The uncorrected formation energy is -446 meV per atom.


# 5
Here is a relaxed structure of UFeCo4 from Alexandria. Energies are from PBE.

Geometry as POSCAR:
```
UFeCo4
1.0
0.0000 3.4065 3.4065
3.4065 0.0000 3.4065
3.4065 3.4065 0.0000
U Fe Co
1 1 4
direct
0.0000 0.0000 0.0000
0.7500 0.7500 0.7500
0.3760 0.3760 0.3760
0.3760 0.3760 0.8720
0.3760 0.8720 0.3760
0.8720 0.3760 0.3760
```

Output
As for the formation energy: -0.058 eV per atom. As for the density of states at the Fermi level: 10.03 states/eV/f.u. The value obtained for the total DFT energy (no corrections) is -48.52 eV for the cell shown.


# 6
Here is a relaxed structure of Tl2ZnIn from Alexandria. Energies are from PBE.

Geometry as POSCAR:
```
Tl2ZnIn
1.0
6.2025 -1.7561 0.0000
6.2025 1.7561 0.0000
-2.1793 0.0000 4.9175
Tl Zn In
2 1 1
direct
0.0000 0.0000 0.0000
0.2115 0.2115 0.7080
0.7234 0.7234 0.2173
0.4278 0.4278 0.4304
```

Output
As for the formation energy: 0.096 eV per atom. As for the density of states at the Fermi level: 1.66 states/eV/f.u. The value obtained for the total DFT energy (no corrections) is -8.36 eV for the cell shown.